Entry 1:
First-principles (GGA-PBEsol) data for Ba3NdIrRuO9 after structural relaxation, as listed in the Alexandria database.

Properties
The value obtained for the density of states at the Fermi level is 6.92 states/eV/f.u. The raw formation energy is -2.156 eV/atom. As for the electronic total energy: -7.4131 eV per atom.

Unit cell a=5.911 b=5.911 c=14.791 alpha=90.00 beta=90.00 gamma=120.00
Last column: magnetic moment on the atom in μB.
Element x y z (fractional)
Ba (0.333, 0.667, 0.098)  0.01
Ba (0.667, 0.333, 0.897)  0.00
Ba (0.667, 0.333, 0.598)  0.01
Ba (0.333, 0.667, 0.397)  0.00
Ba (0.000, 0.000, 0.750)  0.01
Ba (0.000, 0.000, 0.250)  0.01
Nd (0.000, 0.000, 0.000)  0.00
Nd (0.000, 0.000, 0.500)  0.00
Ir (0.333, 0.667, 0.833)  -0.09
Ir (0.667, 0.333, 0.333)  -0.09
Ru (0.667, 0.333, 0.166)  1.00
Ru (0.333, 0.667, 0.666)  1.00
O (0.179, 0.821, 0.593)  0.09
O (0.179, 0.358, 0.593)  0.09
O (0.642, 0.821, 0.593)  0.09
O (0.822, 0.178, 0.410)  -0.01
O (0.822, 0.643, 0.410)  -0.01
O (0.357, 0.178, 0.410)  -0.01
O (0.821, 0.179, 0.093)  0.09
O (0.821, 0.642, 0.093)  0.09
O (0.358, 0.179, 0.093)  0.09
O (0.178, 0.822, 0.910)  -0.01
O (0.178, 0.357, 0.910)  -0.01
O (0.643, 0.822, 0.910)  -0.01
O (0.491, 0.509, 0.749)  0.04
O (0.491, 0.982, 0.749)  0.04
O (0.018, 0.509, 0.749)  0.04
O (0.509, 0.491, 0.249)  0.04
O (0.509, 0.018, 0.249)  0.04
O (0.982, 0.491, 0.249)  0.04

=====

Entry 2:
First-principles (GGA-PBEsol) data for BeIrAu after structural relaxation, as listed in the Alexandria database.

Properties
The value obtained for the density of states at the Fermi level is 2.97 states/eV/f.u. As for the calculated formation energy: 0.142 eV/atom. As for the electronic total energy: -5.7737 eV per atom.

Unit cell a=2.870 b=4.038 c=4.038 alpha=120.00 beta=90.00 gamma=90.00
Element x y z (fractional)
Be (0.673, 0.333, 0.667)
Ir (0.415, 0.667, 0.333)
Au (0.912, 0.000, 0.000)

=====

Entry 3:
First-principles (GGA-PBEsol) data for Co2SeI after structural relaxation, as listed in the Alexandria database.

Properties
The value obtained for the density of states at the Fermi level is 6.28 states/eV/f.u. The raw formation energy is 0.600 eV/atom. As for the electronic total energy: -4.6732 eV per atom.

Unit cell a=4.399 b=4.399 c=4.399 alpha=60.00 beta=60.00 gamma=60.00
Last column: magnetic moment on the atom in μB.
Element x y z (fractional)
I (0.500, 0.500, 0.500)  0.00
Co (0.250, 0.250, 0.250)  0.20
Co (0.750, 0.750, 0.750)  0.20
Se (0.000, 0.000, 0.000)  0.00

=====

Entry 4:
First-principles (GGA-PBEsol) data for La2ZnAu after structural relaxation, as listed in the Alexandria database.

Properties
The value obtained for the density of states at the Fermi level is 4.07 states/eV/f.u. As for the calculated formation energy: -0.497 eV/atom. As for the electronic total energy: -4.5467 eV per atom.

Unit cell a=3.731 b=5.216 c=5.216 alpha=90.06 beta=90.00 gamma=90.00
Element x y z (fractional)
Zn (0.500, 0.000, 0.000)
Au (0.500, 0.500, 0.500)
La (0.000, 0.500, 0.000)
La (0.000, 0.000, 0.500)